## LiZrB2 (GGA-PBE)

Data for an optimized crystal structure of LiZrB2.

Cell and atoms, written as POSCAR:
```
LiZrB2
1.0
0.000 2.844 2.844
2.844 0.000 2.844
2.844 2.844 0.000
B Zr Li
2 1 1
direct
0.250 0.250 0.250
0.750 0.750 0.750
0.500 0.500 0.500
0.000 0.000 0.000
```

Excess energy over the best structure of this formula in the dataset in kcal/mol of atoms: 1.06
ΔE_f in eV per atom: 0.277


## BC3 (GGA-PBE)

Data for an optimized crystal structure of BC3.

Cell and atoms, written as POSCAR:
```
BC3
1.0
2.583 0.000 0.000
0.000 3.810 -0.013
0.000 -0.025 7.615
C B
9 3
direct
0.000 0.997 0.667
0.000 0.223 0.502
0.000 0.023 0.000
0.500 0.760 0.672
0.000 0.260 0.831
0.000 0.238 0.166
0.500 0.770 0.326
0.500 0.492 0.830
0.000 0.993 0.334
0.500 0.792 0.978
0.500 0.492 0.498
0.500 0.461 0.197
```

Excess energy over the best structure of this formula in the dataset in kcal/mol of atoms: 0.92
ΔE_f in eV per atom: 0.281


## Cs2AlBCl6 (GGA-PBE)

Data for an optimized crystal structure of Cs2AlBCl6.

Cell and atoms, written as POSCAR:
```
Cs2AlBCl6
1.0
-1.529 -5.167 -4.776
-4.512 -3.030 4.723
-6.898 -1.230 -1.890
Cs Cl B Al
2 6 1 1
direct
0.250 0.750 0.500
0.750 0.250 0.500
0.766 0.234 0.000
0.228 0.228 0.543
0.234 0.766 0.000
0.234 0.234 0.000
0.766 0.766 0.000
0.772 0.772 0.457
0.500 0.500 0.000
0.000 0.000 0.000
```

E_tot in eV/atom: -3.431


## CsRb2Na2Hg (GGA-PBE)

Data for an optimized crystal structure of CsRb2Na2Hg.

Cell and atoms, written as POSCAR:
```
CsRb2Na2Hg
1.0
6.079 0.000 0.000
0.000 6.079 0.000
-3.039 -3.039 11.783
Hg Na Cs Rb
1 2 1 2
direct
0.000 0.000 0.000
0.128 0.128 0.256
0.872 0.872 0.744
0.500 0.500 0.000
0.250 0.750 0.500
0.750 0.250 0.500
```

ΔE_f in eV per atom: 0.062


## Re2SiAu (GGA-PBE)

Data for an optimized crystal structure of Re2SiAu.

Cell and atoms, written as POSCAR:
```
Re2SiAu
1.0
4.781 0.009 0.004
3.904 2.760 0.004
0.478 0.152 4.651
Au Re Si
1 2 1
direct
0.738 0.738 0.748
0.258 0.258 0.243
0.992 0.992 0.029
0.512 0.512 0.481
```

E_tot in eV/atom: -8.069


## Tb3Sm3HoTe8 (GGA-PBE)

Data for an optimized crystal structure of Tb3Sm3HoTe8.

Cell and atoms, written as POSCAR:
```
Tb3Sm3HoTe8
1.0
8.770 0.000 0.000
-4.385 7.595 -0.026
0.000 -5.039 7.199
Te Ho Sm Tb
8 1 3 3
direct
0.253 0.505 0.749
0.747 0.495 0.251
0.744 0.996 0.749
0.252 0.996 0.749
0.252 0.504 0.256
0.256 0.004 0.251
0.748 0.004 0.251
0.748 0.496 0.744
0.000 0.000 0.500
0.000 0.000 0.000
0.000 0.500 0.000
0.500 0.500 0.000
0.000 0.500 0.500
0.500 0.000 0.500
0.500 0.500 0.500
```

E_tot in eV/atom: -5.252


## Na6HgBi (GGA-PBE)

Data for an optimized crystal structure of Na6HgBi.

Cell and atoms, written as POSCAR:
```
Na6HgBi
1.0
5.480 -0.315 -0.053
2.942 4.139 1.890
3.096 3.275 11.330
Hg Na Bi
1 6 1
direct
0.500 0.500 0.500
0.374 0.118 0.129
0.626 0.882 0.871
0.874 0.636 0.619
0.745 0.272 0.236
0.126 0.364 0.381
0.255 0.728 0.764
0.000 0.000 0.000
```

ΔE_f in eV per atom: -0.227


## In4FeCu (GGA-PBE)

Data for an optimized crystal structure of In4FeCu.

Cell and atoms, written as POSCAR:
```
In4FeCu
1.0
0.000 4.147 4.147
4.147 0.000 4.147
4.147 4.147 0.000
Cu In Fe
1 4 1
direct
0.750 0.750 0.750
0.875 0.375 0.375
0.375 0.375 0.375
0.375 0.875 0.375
0.375 0.375 0.875
0.000 0.000 0.000
```

ΔE_f in eV per atom: 0.762


## NaPuH3 (GGA-PBE)

Data for an optimized crystal structure of NaPuH3.

Cell and atoms, written as POSCAR:
```
NaPuH3
1.0
4.343 0.000 0.000
0.000 4.343 0.000
0.000 0.000 4.343
H Na Pu
3 1 1
direct
0.500 0.000 0.000
0.000 0.500 0.000
0.000 0.000 0.500
0.500 0.500 0.500
0.000 0.000 0.000
```

E_tot in eV/atom: -5.144


no.,calculated density (g/cm³)
1,4.32
2,3.11
3,3.20
4,2.10
5,16.21
6,7.34
7,3.92
8,6.74
9,5.47